# LiAlRe2 (GGA-PBE, optimized geometry)
data_LiAlRe2
_space_group_name_H-M_alt 'P 1'
_space_group_IT_number 1
_cell_length_a 4.577
_cell_length_b 4.577
_cell_length_c 4.881
_cell_angle_alpha 84.56
_cell_angle_beta 84.56
_cell_angle_gamma 34.69
loop_
_space_group_symop_operation_xyz
'x,y,z'
loop_
_atom_site_label
_atom_site_type_symbol
_atom_site_fract_x
_atom_site_fract_y
_atom_site_fract_z
Re1 Re 0.995 0.995 0.017
Re2 Re 0.246 0.246 0.230
Li1 Li 0.751 0.751 0.734
Al1 Al 0.508 0.508 0.519
# E_form ... 79 meV/atom
# M_tot ... 0.0 Bohr magnetons per cell
# Uncorrected energy ... -7.56 eV per atom
# Crystal system ... monoclinic
# Space group ... No. 8